Material: NaPmSmHg
Method: DFT, GGA-PBE
State: optimized geometry

**Mass density**: 7.50 g cm⁻³
**Formation energy**: -0.07 eV per atom
**Final energy**: -11.37 eV per cell

Cell lengths 5.4579, 5.4579, 5.4579 Å; angles 60.00, 60.00, 60.00 degrees
Closest atoms and distances in Å follow each position.
Fractional coordinates of all 4 atoms:
Na 0.0000 0.0000 0.0000  4 Pm 3.34, 4 Sm 3.34
Pm 0.7500 0.7500 0.7500  4 Hg 3.34, 4 Na 3.34
Sm 0.2500 0.2500 0.2500  4 Hg 3.34, 4 Na 3.34
Hg 0.5000 0.5000 0.5000  4 Pm 3.34, 4 Sm 3.34